PrHo3Er5 | the Alexandria database | PBE | optimized geometry; ΔE_f = 40.9 kJ/mol of atoms; DOS(E_F) = 13.90 states/eV/f.u.
1.0
8.397 -3.958 0.000
8.397 3.958 0.000
-7.879 0.000 9.222
Pr Ho Er
2 6 10
direct
0.237 0.237 0.133
0.763 0.763 0.867
0.000 0.000 0.000
0.170 0.170 0.340
0.379 0.379 0.684
0.500 0.500 0.500
0.621 0.621 0.316
0.830 0.830 0.660
0.122 0.122 0.565
0.142 0.729 0.219
0.271 0.858 0.781
0.299 0.299 0.927
0.322 0.678 0.000
0.678 0.322 0.000
0.701 0.701 0.073
0.729 0.142 0.219
0.858 0.271 0.781
0.878 0.878 0.435